No. 1
# Li2In2Pt3 (GGA-PBE, optimized geometry)
data_Li2In2Pt3
_symmetry_space_group_name_H-M 'C 1 2/m 1'
_symmetry_Int_Tables_number 12
_cell_length_a 7.991
_cell_length_b 4.574
_cell_length_c 7.039
_cell_angle_alpha 90.00
_cell_angle_beta 110.81
_cell_angle_gamma 90.00
loop_
_symmetry_equiv_pos_as_xyz
'x,y,z'
'-x,-y,-z'
'-x,y,-z'
'x,-y,z'
'x+1/2,y+1/2,z'
'-x+1/2,-y+1/2,-z'
'-x+1/2,y+1/2,-z'
'x+1/2,-y+1/2,z'
loop_
_atom_site_label
_atom_site_fract_x
_atom_site_fract_y
_atom_site_fract_z
Li1 0.136 0.000 0.405
In1 0.088 0.500 0.768
Pt1 0.000 0.000 0.000
Pt2 0.233 0.500 0.198
# Energy of formation (eV/atom): -0.5042
# Crystal system: monoclinic
# Spin magnetization (Bohr magnetons per cell): 0.00

No. 2
# LiIn3Pt (GGA-PBE, optimized geometry)
data_LiIn3Pt
_symmetry_space_group_name_H-M 'P n m a'
_symmetry_Int_Tables_number 62
_cell_length_a 7.910
_cell_length_b 9.415
_cell_length_c 6.090
_cell_angle_alpha 90.00
_cell_angle_beta 90.00
_cell_angle_gamma 90.00
loop_
_symmetry_equiv_pos_as_xyz
'x,y,z'
'-x,-y,-z'
'-x+1/2,-y,z+1/2'
'x+1/2,y,-z+1/2'
'x+1/2,-y+1/2,-z+1/2'
'-x+1/2,y+1/2,z+1/2'
'-x,y+1/2,-z'
'x,-y+1/2,z'
loop_
_atom_site_label
_atom_site_fract_x
_atom_site_fract_y
_atom_site_fract_z
Li1 0.070 0.250 0.244
In1 0.051 0.750 0.223
In2 0.172 0.539 0.613
Pt1 0.000 0.000 0.000
# Energy of formation (eV/atom): -0.3147
# Crystal system: orthorhombic
# Spin magnetization (Bohr magnetons per cell): 0.00
# Distance to the lowest polymorph of the same formula (eV/f.u.): 0.00

Number 1: V 17.2 A^3/atom, electronic total energy -61.91 eV/cell, D(E_F) 0.459 states/eV per atom. Number 2: V 22.7 A^3/atom, electronic total energy -70.97 eV/cell, D(E_F) 0.342 states/eV per atom.